1.
# NaMg7Cd4

A geometry-optimized NaMg7Cd4 structure (PBE-GGA, Alexandria via LeMat-Bulk).

Calculated values
- Space-group type: C2/m
- Energy relative to the elements: 0.59 eV/f.u.
- Density of states at the Fermi level: 3.512 states/eV/f.u.

Lattice parameters (Å, degrees): 5.1991 8.5794 7.3409 79.58 69.26 72.36
Positions (direct):
Mg  0.3335  0.6113  0.7217
Mg  0.2193  0.1368  0.4245
Mg  0.5000  0.0000  0.0000
Mg  0.7807  0.8632  0.5755
Mg  0.6665  0.3887  0.2783
Mg  0.0588  0.6250  0.2573
Mg  0.9412  0.3750  0.7427
Cd  0.5693  0.2137  0.6476
Cd  0.3078  0.3436  0.0409
Cd  0.4307  0.7863  0.3524
Cd  0.6922  0.6564  0.9591
Na  0.0000  0.0000  0.0000



2.
# NaMgCd2

A geometry-optimized NaMgCd2 structure (PBE-GGA, Alexandria via LeMat-Bulk).

Calculated values
- Space-group type: P4/mmm
- Energy relative to the elements: -0.26 eV/f.u.
- Density of states at the Fermi level: 1.483 states/eV/f.u.

Lattice parameters (Å, degrees): 3.6373 3.6373 7.1784 90.00 90.00 90.00
Positions (direct):
Cd  0.0000  0.0000  0.7332
Cd  0.0000  0.0000  0.2668
Mg  0.5000  0.5000  0.5000
Na  0.5000  0.5000  0.0000



3.
# NaMg5Cd8

A geometry-optimized NaMg5Cd8 structure (PBE-GGA, Alexandria via LeMat-Bulk).

Calculated values
- Space-group type: I-4
- Energy relative to the elements: -0.23 eV/f.u.
- Density of states at the Fermi level: 7.810 states/eV/f.u.

Lattice parameters (Å, degrees): 7.5778 7.5778 7.5778 111.69 105.12 111.69
Positions (direct):
Mg  0.7853  0.6521  0.7127
Mg  0.5000  0.0000  0.5000
Mg  0.0607  0.3479  0.1332
Mg  0.8668  0.9274  0.2147
Mg  0.2873  0.0726  0.9393
Cd  0.3448  0.2565  0.3893
Cd  0.9117  0.0445  0.6552
Cd  0.5238  0.5923  0.2573
Cd  0.6650  0.4077  0.9315
Cd  0.6107  0.9555  0.8672
Cd  0.1328  0.7435  0.0883
Cd  0.0685  0.7335  0.4762
Cd  0.7427  0.2665  0.3350
Na  0.2500  0.5000  0.7500



4.
# Na3Mg4Cd8

A geometry-optimized Na3Mg4Cd8 structure (PBE-GGA, Alexandria via LeMat-Bulk).

Calculated values
- Space-group type: Fm-3m
- Energy relative to the elements: -0.80 eV/f.u.
- Density of states at the Fermi level: 8.872 states/eV/f.u.

Lattice parameters (Å, degrees): 10.0595 10.0595 10.0595 60.00 60.00 60.00
Positions (direct):
Cd  0.3465  0.3465  0.3465
Cd  0.6272  0.1243  0.1243
Cd  0.8757  0.8757  0.3728
Cd  0.3728  0.8757  0.8757
Cd  0.6535  0.0394  0.6535
Cd  0.8757  0.8757  0.8757
Cd  0.1243  0.1243  0.6272
Cd  0.1243  0.1243  0.1243
Cd  0.8757  0.3728  0.8757
Cd  0.6535  0.6535  0.0394
Cd  0.6535  0.6535  0.6535
Cd  0.3465  0.9606  0.3465
Cd  0.9606  0.3465  0.3465
Cd  0.1243  0.6272  0.1243
Cd  0.3465  0.3465  0.9606
Cd  0.0394  0.6535  0.6535
Mg  0.5000  0.0000  0.0000
Mg  0.5000  0.0000  0.5000
Mg  0.0000  0.0000  0.5000
Mg  0.0000  0.5000  0.0000
Mg  0.0000  0.0000  0.0000
Mg  0.0000  0.5000  0.5000
Mg  0.5000  0.5000  0.5000
Mg  0.5000  0.5000  0.0000
Na  0.2697  0.2697  0.7303
Na  0.7303  0.2697  0.7303
Na  0.7303  0.7303  0.2697
Na  0.2697  0.7303  0.2697
Na  0.2697  0.7303  0.7303
Na  0.7303  0.2697  0.2697



5.
# NaMg3Cd

A geometry-optimized NaMg3Cd structure (PBE-GGA, Alexandria via LeMat-Bulk).

Calculated values
- Relative energy among the computed polymorphs: 172 meV per atom
- Space-group type: Pm-3m
- Energy relative to the elements: 0.99 eV/f.u.
- Density of states at the Fermi level: 1.732 states/eV/f.u.

Lattice parameters (Å, degrees): 5.3405 5.3405 5.3405 90.00 90.00 90.00
Positions (direct):
Na  0.5000  0.5000  0.5000
Mg  0.0000  0.0000  0.5000
Mg  0.0000  0.5000  0.0000
Mg  0.5000  0.0000  0.0000
Cd  0.0000  0.0000  0.0000



6.
# Na4MgCd5

A geometry-optimized Na4MgCd5 structure (PBE-GGA, Alexandria via LeMat-Bulk).

Calculated values
- Space-group type: Pmmm
- Energy relative to the elements: -0.70 eV/f.u.
- Density of states at the Fermi level: 3.220 states/eV/f.u.

Lattice parameters (Å, degrees): 3.2271 4.4813 17.3469 90.00 90.00 90.00
Positions (direct):
Cd  0.5000  0.5000  0.2950
Cd  0.5000  0.5000  0.0913
Cd  0.5000  0.5000  0.7050
Cd  0.5000  0.5000  0.5000
Cd  0.5000  0.5000  0.9087
Mg  0.0000  0.0000  0.0000
Na  0.0000  0.0000  0.6027
Na  0.0000  0.0000  0.1942
Na  0.0000  0.0000  0.3973
Na  0.0000  0.0000  0.8058



7.
# NaMgCd

A geometry-optimized NaMgCd structure (PBE-GGA, Alexandria via LeMat-Bulk).

Calculated values
- Relative energy among the computed polymorphs: 65 meV per atom
- Space-group type: P3m1
- Energy relative to the elements: 0.00 eV/f.u.
- Density of states at the Fermi level: 0.489 states/eV/f.u.

Lattice parameters (Å, degrees): 3.2540 3.2540 8.1706 90.00 90.00 120.00
Positions (direct):
Mg  0.3333  0.6667  0.6509
Na  0.0000  0.0000  0.0069
Cd  0.6667  0.3333  0.3422



8.
# Na16MgCd12

A geometry-optimized Na16MgCd12 structure (PBE-GGA, Alexandria via LeMat-Bulk).

Calculated values
- Space-group type: Cm
- Energy relative to the elements: -2.27 eV/f.u.
- Density of states at the Fermi level: 15.495 states/eV/f.u.

Lattice parameters (Å, degrees): 10.1805 10.1805 10.0599 109.70 109.70 110.30
Positions (direct):
Cd  0.8008  0.8008  0.1847
Cd  0.8172  0.1747  0.8171
Cd  0.1774  0.9982  0.3587
Cd  0.6406  0.6406  0.8199
Cd  0.8113  0.6310  0.6202
Cd  0.6310  0.8113  0.6202
Cd  0.3638  0.0060  0.1882
Cd  0.1941  0.3686  0.0081
Cd  0.0060  0.3638  0.1882
Cd  0.9982  0.1774  0.3587
Cd  0.3686  0.1941  0.0081
Cd  0.1747  0.8172  0.8171
Na  0.6899  0.4089  0.0054
Na  0.5945  0.2774  0.5938
Na  0.3121  0.7207  0.3095
Na  0.9937  0.6543  0.9954
Na  0.6543  0.9937  0.9954
Na  0.7207  0.3121  0.3095
Na  0.4079  0.0014  0.6883
Na  0.3174  0.3174  0.7259
Na  0.2774  0.5945  0.5938
Na  0.9970  0.6836  0.4058
Na  0.0014  0.4079  0.6883
Na  0.9977  0.9977  0.6462
Na  0.6836  0.9970  0.4058
Na  0.3592  0.3592  0.3590
Na  0.0019  0.0019  0.9990
Na  0.4089  0.6899  0.0054
Mg  0.5989  0.5989  0.2843



Among the records above, which one has the lowest density of states at the Fermi level? NaMgCd



Number 7 is which compound? NaMgCd



What is the energy relative to the elements in the seventh record? 0.00 eV/f.u.